DFT (PBE) results for crystalline Np4TcOs at its relaxed geometry. Values from VASP.

Quantum ESPRESSO input file:
```
&SYSTEM
  ibrav = 0, nat = 12, ntyp = 3
/
ATOMIC_SPECIES
Np 237.00 Np.upf
Tc 98.00 Tc.upf
Os 190.23 Os.upf
CELL_PARAMETERS angstrom
2.254 -6.700 0.000
2.254 6.700 0.000
0.000 0.000 7.111
ATOMIC_POSITIONS crystal
Np 0.024 0.976 0.500
Np 0.184 0.816 0.668
Np 0.344 0.656 0.351
Np 0.460 0.540 0.623
Np 0.540 0.460 0.123
Np 0.656 0.344 0.851
Np 0.816 0.184 0.168
Np 0.976 0.024 0.000
Tc 0.167 0.833 0.157
Tc 0.833 0.167 0.657
Os 0.333 0.667 0.925
Os 0.667 0.333 0.425
```

Computed properties:
DFT total energy = -12.129 eV/atom

DFT (PBE) results for crystalline Ba5Na4Tl at its relaxed geometry. Values from VASP.

Quantum ESPRESSO input file:
```
&SYSTEM
  ibrav = 0, nat = 10, ntyp = 3
/
ATOMIC_SPECIES
Ba 137.33 Ba.upf
Na 22.99 Na.upf
Tl 204.38 Tl.upf
CELL_PARAMETERS angstrom
4.457 0.000 0.000
0.000 4.457 0.000
0.000 0.000 24.346
ATOMIC_POSITIONS crystal
Ba 0.000 0.000 0.000
Ba 0.000 0.000 0.208
Ba 0.000 0.000 0.419
Ba 0.000 0.000 0.581
Ba 0.000 0.000 0.792
Na 0.500 0.500 0.104
Na 0.500 0.500 0.312
Na 0.500 0.500 0.688
Na 0.500 0.500 0.896
Tl 0.500 0.500 0.500
```

Computed properties:
DFT total energy = -1.815 eV/atom

DFT (PBE) results for crystalline TaIr2Pt at its relaxed geometry. Values from VASP.

Quantum ESPRESSO input file:
```
&SYSTEM
  ibrav = 0, nat = 4, ntyp = 3
/
ATOMIC_SPECIES
Ta 180.95 Ta.upf
Ir 192.22 Ir.upf
Pt 195.08 Pt.upf
CELL_PARAMETERS angstrom
2.785 0.000 0.000
0.000 3.995 0.000
0.000 0.000 5.575
ATOMIC_POSITIONS crystal
Ta 0.000 0.000 0.000
Ir 0.000 0.000 0.488
Ir 0.500 0.500 0.254
Pt 0.500 0.500 0.740
```

Computed properties:
relative energy among the computed polymorphs = 237 meV/atom
DFT total energy = -9.315 eV/atom

Let's list magnetization in order: 0.0 0.0 0.0 μB per formula unit.
Let's list ΔE_f in order: 0.097 -0.089 -0.411 eV/atom.